Below is crystalline PmRuPb at its relaxed geometry, with properties calculated at the GGA-PBE level.

Summary:
size of the total moment	0.00	μB per cell
crystal system	tetragonal
energy relative to the elements	-0.098	eV/atom
density of states at the Fermi level	2.226	states/eV/cell
energy relative to the lowest polymorph listed for this composition	0	meV per atom
space group	I4mm (107)
total DFT energy (no corrections)	-6.010	eV/atom

Cell: 6.412 6.412 6.412 Å, 149.03 149.03 44.37°
Fractional positions:
Pm  0.000  0.000  0.000
Ru  0.347  0.347  0.000
Pb  0.715  0.715  0.000

***

Below is crystalline PmRuPb at its relaxed geometry, with properties calculated at the GGA-PBE level.

Summary:
size of the total moment	0.00	μB per cell
crystal system	cubic
energy relative to the elements	-0.095	eV/atom
density of states at the Fermi level	2.375	states/eV/cell
energy relative to the lowest polymorph listed for this composition	3	meV per atom
space group	F-43m (216)
total DFT energy (no corrections)	-6.007	eV/atom

Cell: 4.773 4.773 4.773 Å, 60.00 60.00 60.00°
Fractional positions:
Pm  0.000  0.000  0.000
Ru  0.250  0.250  0.250
Pb  0.500  0.500  0.500

***

Below is crystalline PmRuPb at its relaxed geometry, with properties calculated at the GGA-PBE level.

Summary:
size of the total moment	0.00	μB per cell
crystal system	tetragonal
energy relative to the elements	0.028	eV/atom
density of states at the Fermi level	6.826	states/eV/cell
energy relative to the lowest polymorph listed for this composition	126	meV per atom
space group	P4/nmm (129)
total DFT energy (no corrections)	-5.884	eV/atom

Cell: 3.490 3.490 12.409 Å, 90.00 90.00 90.00°
Fractional positions:
Pm  0.250  0.250  0.197
Pm  0.750  0.750  0.803
Ru  0.250  0.250  0.968
Ru  0.750  0.750  0.032
Pb  0.250  0.250  0.600
Pb  0.750  0.750  0.400

***

Below is crystalline Pm3RuPb2 at its relaxed geometry, with properties calculated at the GGA-PBE level.

Summary:
size of the total moment	0.00	μB per cell
crystal system	monoclinic
energy relative to the elements	-0.330	eV/atom
density of states at the Fermi level	9.755	states/eV/cell
space group	C2/c (15)
total DFT energy (no corrections)	-5.488	eV/atom

Cell: 7.643 7.643 8.172 Å, 104.11 104.11 48.12°
Fractional positions:
Pm  0.198  0.802  0.750
Pm  0.226  0.449  0.361
Pm  0.449  0.226  0.861
Pm  0.551  0.774  0.139
Pm  0.774  0.551  0.639
Pm  0.802  0.198  0.250
Ru  0.338  0.662  0.250
Ru  0.662  0.338  0.750
Pb  0.029  0.271  0.009
Pb  0.271  0.029  0.509
Pb  0.729  0.971  0.491
Pb  0.971  0.729  0.991

***

Below is crystalline Pm6Ru2Pb at its relaxed geometry, with properties calculated at the GGA-PBE level.

Summary:
size of the total moment	0.00	μB per cell
crystal system	orthorhombic
energy relative to the elements	-0.314	eV/atom
density of states at the Fermi level	14.603	states/eV/cell
energy relative to the lowest polymorph listed for this composition	0	meV per atom
space group	Immm (71)
total DFT energy (no corrections)	-5.954	eV/atom

Cell: 8.740 8.740 8.740 Å, 112.83 110.68 105.01°
Fractional positions:
Pm  0.029  0.237  0.791
Pm  0.183  0.287  0.470
Pm  0.183  0.713  0.896
Pm  0.329  0.016  0.687
Pm  0.329  0.642  0.313
Pm  0.446  0.237  0.209
Pm  0.554  0.763  0.791
Pm  0.671  0.358  0.687
Pm  0.671  0.984  0.313
Pm  0.817  0.287  0.104
Pm  0.817  0.713  0.530
Pm  0.971  0.763  0.209
Ru  0.125  0.625  0.500
Ru  0.328  0.000  0.328
Ru  0.672  0.000  0.672
Ru  0.875  0.375  0.500
Pb  0.000  0.000  0.000
Pb  0.500  0.500  0.000

***

Below is crystalline Pm4Ru2Pb at its relaxed geometry, with properties calculated at the GGA-PBE level.

Summary:
size of the total moment	0.00	μB per cell
crystal system	triclinic
energy relative to the elements	-0.249	eV/atom
density of states at the Fermi level	9.822	states/eV/cell
space group	P1 (1)
total DFT energy (no corrections)	-6.143	eV/atom

Cell: 7.193 7.298 8.070 Å, 107.55 105.12 102.51°
Fractional positions:
Pm  0.000  0.000  0.000
Pm  0.026  0.592  0.196
Pm  0.265  0.361  0.828
Pm  0.358  0.104  0.430
Pm  0.450  0.722  0.670
Pm  0.587  0.130  0.096
Pm  0.849  0.995  0.445
Pm  0.901  0.564  0.612
Ru  0.088  0.332  0.401
Ru  0.195  0.948  0.703
Ru  0.326  0.792  0.062
Ru  0.676  0.663  0.975
Pb  0.500  0.555  0.267
Pb  0.738  0.263  0.800

***

Below is crystalline Pm6Ru2Pb at its relaxed geometry, with properties calculated at the GGA-PBE level.

Summary:
size of the total moment	0.00	μB per cell
crystal system	monoclinic
energy relative to the elements	-0.243	eV/atom
density of states at the Fermi level	7.956	states/eV/cell
energy relative to the lowest polymorph listed for this composition	71	meV per atom
space group	C2/m (12)
total DFT energy (no corrections)	-5.883	eV/atom

Cell: 5.872 5.872 9.512 Å, 101.38 101.38 51.31°
Fractional positions:
Pm  0.031  0.031  0.348
Pm  0.293  0.293  0.658
Pm  0.335  0.335  0.120
Pm  0.665  0.665  0.880
Pm  0.707  0.707  0.342
Pm  0.969  0.969  0.652
Ru  0.382  0.382  0.403
Ru  0.618  0.618  0.597
Pb  0.000  0.000  0.000

***

Below is crystalline Pm12RuPb6 at its relaxed geometry, with properties calculated at the GGA-PBE level.

Summary:
size of the total moment	0.00	μB per cell
crystal system	trigonal
energy relative to the elements	-0.320	eV/atom
density of states at the Fermi level	18.289	states/eV/cell
space group	R-3 (148)
total DFT energy (no corrections)	-4.980	eV/atom

Cell: 8.639 8.639 8.639 Å, 91.96 91.96 91.96°
Fractional positions:
Pm  0.045  0.694  0.920
Pm  0.080  0.955  0.306
Pm  0.201  0.552  0.420
Pm  0.306  0.080  0.955
Pm  0.420  0.201  0.552
Pm  0.448  0.580  0.799
Pm  0.552  0.420  0.201
Pm  0.580  0.799  0.448
Pm  0.694  0.920  0.045
Pm  0.799  0.448  0.580
Pm  0.920  0.045  0.694
Pm  0.955  0.306  0.080
Ru  0.000  0.000  0.000
Pb  0.135  0.364  0.739
Pb  0.261  0.865  0.636
Pb  0.364  0.739  0.135
Pb  0.636  0.261  0.865
Pb  0.739  0.135  0.364
Pb  0.865  0.636  0.261